Model 1:
Material: V3BiW
Method: DFT, PBE
State: optimized geometry

Cell lengths 4.6780, 4.6780, 4.6780 Å; angles 90.00, 90.00, 90.00 degrees
Atoms (fractional coordinates):
Bi (0.5000, 0.5000, 0.5000)
W (0.0000, 0.0000, 0.0000)
V (0.0000, 0.5000, 0.0000)
V (0.0000, 0.0000, 0.5000)
V (0.5000, 0.0000, 0.0000)

The value obtained for the total magnetization is 0.0 μB per cell. The density of states at the Fermi level is 0.994 states/eV/atom. The space-group type is No. 221.



Model 2:
Material: V3BiW
Method: DFT, PBE
State: optimized geometry

Cell lengths 4.9620, 4.9620, 4.9620 Å; angles 90.00, 90.00, 90.00 degrees
Atoms (fractional coordinates):
Bi (0.0000, 0.0000, 0.0000)
W (0.5000, 0.5000, 0.5000)
V (0.0000, 0.5000, 0.0000)
V (0.0000, 0.0000, 0.5000)
V (0.5000, 0.0000, 0.0000)

The value obtained for the total magnetization is 4.8 μB per cell. The density of states at the Fermi level is 1.713 states/eV/atom. The space-group type is No. 221.



Among the structures above, stability is smallest for model 2.